Record 1
The following is a DFT calculation (GGA-PBE) of MgNiPd6 after structural relaxation.

ΔE_f = 238 meV/atom
Total magnetization = 0.48 Bohr magnetons per cell
Total DFT energy (no corrections) = -4.5788 eV/atom
Symmetry = No. 166

The structure in extended XYZ format:
```
8
Lattice="3.6407 2.1020 3.0636 -3.6407 2.1020 3.0636 0.0000 -4.2039 3.0636" Properties=species:S:1:pos:R:3 pbc="T T T"
Mg 0.0000 0.0000 0.0000
Ni 0.0000 0.0000 4.5954
Pd 0.0000 -1.5796 2.7287
Pd -1.3680 0.7898 2.7287
Pd -1.3680 -0.7898 6.4621
Pd 1.3680 0.7898 2.7287
Pd 1.3680 -0.7898 6.4621
Pd 0.0000 1.5796 6.4621
```

Record 2
The following is a DFT calculation (GGA-PBE) of Sm5OsBr5 after structural relaxation.

Total magnetization = 0.00 Bohr magnetons per cell
Total DFT energy (no corrections) = -5.0577 eV/atom
Symmetry = No. 12

The structure in extended XYZ format:
```
11
Lattice="6.4434 -2.9488 0.0000 6.4434 2.9488 0.0000 -2.8040 0.0000 8.4819" Properties=species:S:1:pos:R:3 pbc="T T T"
Sm 0.0000 0.0000 0.0000
Sm 3.9291 0.0000 1.1400
Sm 2.5643 0.0000 6.0543
Sm 7.5187 0.0000 2.4276
Sm 6.1538 0.0000 7.3419
Os 6.4434 0.0000 0.0000
Br -0.3912 0.0000 6.5510
Br 1.2553 0.0000 3.0632
Br 5.0415 0.0000 4.2409
Br 8.8277 0.0000 5.4186
Br 10.4741 0.0000 1.9308
```

> Among the records above, which one has the highest total DFT energy (no corrections)?

MgNiPd6